# NaLi3Se

A relaxed NaLi3Se crystal (GGA-PBE, Alexandria).

Structure (CIF):
```
data_NaLi3Se
_symmetry_space_group_name_H-M 'P 1'
_symmetry_Int_Tables_number 1
_cell_length_a 4.994
_cell_length_b 4.994
_cell_length_c 4.994
_cell_angle_alpha 90.00
_cell_angle_beta 90.00
_cell_angle_gamma 90.00
loop_
_symmetry_equiv_pos_as_xyz
'x,y,z'
loop_
_atom_site_label
_atom_site_fract_x
_atom_site_fract_y
_atom_site_fract_z
_atom_site_occupancy
Na1 0.000 0.000 0.000 1
Li1 0.000 0.500 0.500 1
Li2 0.500 0.000 0.500 1
Li3 0.500 0.500 0.000 1
Se1 0.500 0.500 0.500 1
```

The uncorrected formation energy is -0.57 eV/atom. The calculation puts the energy above the most stable polymorph in this dataset at 0.000 eV/atom. The value obtained for the total energy is -13.388 eV per cell.

# Na2Li2Se

A relaxed Na2Li2Se crystal (GGA-PBE, Alexandria).

Structure (CIF):
```
data_Na2Li2Se
_symmetry_space_group_name_H-M 'P 1'
_symmetry_Int_Tables_number 1
_cell_length_a 7.280
_cell_length_b 7.280
_cell_length_c 4.958
_cell_angle_alpha 90.00
_cell_angle_beta 90.00
_cell_angle_gamma 90.00
loop_
_symmetry_equiv_pos_as_xyz
'x,y,z'
loop_
_atom_site_label
_atom_site_fract_x
_atom_site_fract_y
_atom_site_fract_z
_atom_site_occupancy
Na1 0.147 0.353 0.000 1
Na2 0.353 0.853 0.000 1
Na3 0.647 0.147 0.000 1
Na4 0.853 0.647 0.000 1
Li1 0.173 0.673 0.500 1
Li2 0.327 0.173 0.500 1
Li3 0.673 0.827 0.500 1
Li4 0.827 0.327 0.500 1
Se1 0.000 0.000 0.000 1
Se2 0.500 0.500 0.000 1
```

The uncorrected formation energy is -0.31 eV/atom. The calculation puts the energy above the most stable polymorph in this dataset at 0.211 eV/atom. The value obtained for the total energy is -22.979 eV per cell.